Entry 1:
Density functional theory data (PBE) for a relaxed Tb3Pm7Tm crystal.

The structure in CIF format:
```
data_Tb3Pm7Tm
_space_group_name_H-M_alt 'P 1 2/m 1'
_space_group_IT_number 10
_space_group_name_Hall '-P 2y'
_cell_length_a 7.067
_cell_length_b 5.639
_cell_length_c 10.022
_cell_angle_alpha 90.00
_cell_angle_beta 110.27
_cell_angle_gamma 90.00
loop_
_atom_site_label
_atom_site_type_symbol
_atom_site_fract_x
_atom_site_fract_y
_atom_site_fract_z
Tb1 Tb 0.000 0.000 0.000
Tb2 Tb 0.280 0.500 0.499
Pm1 Pm 0.000 0.000 0.500
Pm2 Pm 0.146 0.500 0.792
Pm3 Pm 0.322 0.500 0.138
Pm4 Pm 0.416 0.000 0.328
Tm1 Tm 0.500 0.000 0.000
```

Computed properties:
ρ = 7.361 Mg/m³
Energy of formation from the pure elements = 0.1201 eV per atom
Total moment = 0.0 Bohr magnetons per cell
E_tot = -4.57 eV/atom

Entry 2:
Density functional theory data (PBE) for a relaxed TbPm4Tm15 crystal.

The structure in CIF format:
```
data_TbPm4Tm15
_space_group_name_H-M_alt 'P 4/m m m'
_space_group_IT_number 123
_space_group_name_Hall '-P 4 2'
_cell_length_a 4.987
_cell_length_b 4.987
_cell_length_c 24.847
_cell_angle_alpha 90.00
_cell_angle_beta 90.00
_cell_angle_gamma 90.00
loop_
_atom_site_label
_atom_site_type_symbol
_atom_site_fract_x
_atom_site_fract_y
_atom_site_fract_z
Tb1 Tb 0.000 0.000 0.000
Pm1 Pm 0.000 0.000 0.200
Pm2 Pm 0.000 0.000 0.400
Tm1 Tm 0.000 0.500 0.099
Tm2 Tm 0.000 0.500 0.300
Tm3 Tm 0.000 0.500 0.500
Tm4 Tm 0.500 0.500 0.000
Tm5 Tm 0.500 0.500 0.199
Tm6 Tm 0.500 0.500 0.400
```

Computed properties:
ρ = 8.796 Mg/m³
Energy of formation from the pure elements = 0.0257 eV per atom
Total moment = 0.0 Bohr magnetons per cell
E_tot = -4.51 eV/atom

Entry 3:
Density functional theory data (PBE) for a relaxed Tb4Pm3Tm2 crystal.

The structure in CIF format:
```
data_Tb4Pm3Tm2
_space_group_name_H-M_alt 'C 1 2/m 1'
_space_group_IT_number 12
_space_group_name_Hall '-C 2y'
_cell_length_a 15.171
_cell_length_b 5.055
_cell_length_c 7.985
_cell_angle_alpha 90.00
_cell_angle_beta 108.50
_cell_angle_gamma 90.00
loop_
_atom_site_label
_atom_site_type_symbol
_atom_site_fract_x
_atom_site_fract_y
_atom_site_fract_z
Tb1 Tb 0.056 0.000 0.332
Tb2 Tb 0.222 0.500 0.331
Pm1 Pm 0.000 0.500 0.000
Pm2 Pm 0.111 0.500 0.666
Tm1 Tm 0.168 0.000 0.001
```

Computed properties:
ρ = 8.055 Mg/m³
Energy of formation from the pure elements = 0.0193 eV per atom
Total moment = 0.0 Bohr magnetons per cell
E_tot = -4.62 eV/atom